[1]
Below is a relaxed DyEr2In3PdPt2 crystal, with properties calculated at the PBE-GGA level.

Results
Its volume is 195.37 Å³/cell. As for the crystal system: orthorhombic. The space group is Amm2.

The structure in CIF format:
```
data_DyEr2In3PdPt2
_chemical_formula_sum 'Dy1 Er2 In3 Pd1 Pt2'
_space_group_name_H-M_alt 'P 1'
_space_group_IT_number 1
_space_group_name_Hall 'P 1'
_cell_length_a 3.805
_cell_length_b 7.705
_cell_length_c 7.705
_cell_angle_alpha 120.11
_cell_angle_beta 90.00
_cell_angle_gamma 90.00
loop_
_atom_site_label
_atom_site_type_symbol
_atom_site_fract_x
_atom_site_fract_y
_atom_site_fract_z
Dy1 Dy 0.000 0.591 0.591
Er1 Er 0.000 0.409 0.000
Er2 Er 0.000 0.000 0.409
In1 In 0.500 0.740 0.001
In2 In 0.500 0.260 0.260
In3 In 0.500 0.001 0.740
Pd1 Pd 0.000 0.001 0.001
Pt1 Pt 0.500 0.667 0.332
Pt2 Pt 0.500 0.332 0.667
```

---

[2]
Below is a relaxed Dy2ErIn3Pt2 crystal, with properties calculated at the PBE-GGA level.

Results
Its volume is 185.82 Å³/cell. As for the crystal system: orthorhombic. The space group is Amm2.

The structure in CIF format:
```
data_Dy2ErIn3Pt2
_chemical_formula_sum 'Dy2 Er1 In3 Pt2'
_space_group_name_H-M_alt 'P 1'
_space_group_IT_number 1
_space_group_name_Hall 'P 1'
_cell_length_a 3.626
_cell_length_b 7.688
_cell_length_c 7.688
_cell_angle_alpha 119.89
_cell_angle_beta 90.00
_cell_angle_gamma 90.00
loop_
_atom_site_label
_atom_site_type_symbol
_atom_site_fract_x
_atom_site_fract_y
_atom_site_fract_z
Dy1 Dy 0.000 0.579 0.000
Dy2 Dy 0.000 0.000 0.579
Er1 Er 0.000 0.421 0.421
In1 In 0.500 0.231 0.001
In2 In 0.500 0.001 0.231
In3 In 0.500 0.769 0.769
Pt1 Pt 0.500 0.665 0.334
Pt2 Pt 0.500 0.334 0.665
```

---

[3]
Below is a relaxed DyEr2In3Pt2 crystal, with properties calculated at the PBE-GGA level.

Results
Its volume is 184.89 Å³/cell. As for the crystal system: orthorhombic. The space group is Amm2.

The structure in CIF format:
```
data_DyEr2In3Pt2
_chemical_formula_sum 'Dy1 Er2 In3 Pt2'
_space_group_name_H-M_alt 'P 1'
_space_group_IT_number 1
_space_group_name_Hall 'P 1'
_cell_length_a 3.601
_cell_length_b 7.702
_cell_length_c 7.702
_cell_angle_alpha 120.04
_cell_angle_beta 90.00
_cell_angle_gamma 90.00
loop_
_atom_site_label
_atom_site_type_symbol
_atom_site_fract_x
_atom_site_fract_y
_atom_site_fract_z
Dy1 Dy 0.000 0.579 0.579
Er1 Er 0.000 0.421 0.000
Er2 Er 0.000 0.000 0.421
In1 In 0.500 0.769 0.000
In2 In 0.500 0.230 0.230
In3 In 0.500 0.000 0.769
Pt1 Pt 0.500 0.667 0.333
Pt2 Pt 0.500 0.333 0.667
```

---

Values for spin magnetization, μB/f.u., ordered as above
0.02, 0.02, 0.01
Values for DFT total energy, eV for the cell shown, ordered as above
-47.87, -41.19, -41.17